# Ba3LaZnReWO12 | Alexandria via LeMat-Bulk | PBE+U | optimized geometry
# **Volume**: 822 Å³/cell
# **Energy**: -7.17 eV per atom
data_Ba3LaZnReWO12
_chemical_formula_sum 'Ba9 La3 Zn3 Re3 W3 O36'
_symmetry_space_group_name_H-M 'R 3 m'
_symmetry_Int_Tables_number 160
_symmetry_space_group_name_Hall 'R 3 -2"'
_cell_length_a 5.7722
_cell_length_b 5.7722
_cell_length_c 28.5021
_cell_angle_alpha 90.00
_cell_angle_beta 90.00
_cell_angle_gamma 120.00
loop_
_atom_site_label
_atom_site_type_symbol
_atom_site_fract_x
_atom_site_fract_y
_atom_site_fract_z
_atom_site_occupancy
Ba1 Ba 0.0000 0.0000 0.0000 1
Ba2 Ba 0.0000 0.0000 0.1600 1
Ba3 Ba 0.0000 0.0000 0.5851 1
La1 La 0.0000 0.0000 0.4053 1
Zn1 Zn 0.0000 0.0000 0.2890 1
Re1 Re 0.0000 0.0000 0.8746 1
W1 W 0.0000 0.0000 0.7173 1
O1 O 0.9997 0.4998 0.0090 1
O2 O 0.0086 0.5043 0.4176 1
O3 O 0.0207 0.5103 0.5850 1
O4 O 0.1763 0.3526 0.5082 1